[1]
8
Lattice="-2.9556 -1.2481 3.4645 2.5193 -3.9255 0.7350 5.0375 4.3296 5.8572" Properties=species:S:1:pos:R:3 comment="BaTePtO, optimized geometry, DFT PBE" final_energy_ev_per_atom=-4.183 e_above_lowest_polymorph_ev_per_atom=1.039 pbc="T T T"
Ba -1.5869 -1.9174 2.7822
Ba 1.1505 -3.2561 1.4174
O 2.1262 -1.7714 6.0025
O 2.4748 0.9275 4.0543
Pt 0.9129 -2.8143 4.5916
Pt 3.6882 1.9703 5.4652
Te 1.4071 0.0098 2.8129
Te 3.1940 -0.8537 7.2439

=====

[2]
5
Lattice="0.3670 1.4670 6.0779 3.7258 4.6417 1.9496 -4.3752 -1.0399 -4.3593" Properties=species:S:1:pos:R:3 comment="BaZn2PPt, optimized geometry, DFT PBE" final_energy_ev_per_atom=-3.825 pbc="T T T"
Ba 4.0616 6.0620 7.9663
P 1.6143 2.4094 3.1663
Pt 2.5283 3.7736 4.9590
Zn -0.9902 1.7268 2.8479
Zn 0.6892 3.3142 0.7838

=====

[3]
12
Lattice="4.6970 0.0000 0.0000 0.0000 8.4347 0.0000 0.0000 0.0000 4.7210" Properties=species:S:1:pos:R:3 comment="AlZn2, optimized geometry, DFT PBE" final_energy_ev_per_atom=-2.032 pbc="T T T"
Al 0.0101 0.0000 0.0000
Al 0.0101 5.6225 0.0000
Al 3.9040 1.4051 2.3605
Al 3.9040 4.2180 2.3605
Zn 2.3594 1.4118 0.0000
Zn 0.0216 2.8116 0.0000
Zn 2.3594 4.2114 0.0000
Zn 2.3519 7.0289 0.0000
Zn 1.5621 2.8116 2.3605
Zn 1.5547 5.6292 2.3605
Zn 3.8925 7.0289 2.3605
Zn 1.5547 8.4287 2.3605

=====

[4]
4
Lattice="0.0000 3.7837 3.7837 3.7837 0.0000 3.7837 3.7837 3.7837 0.0000" Properties=species:S:1:pos:R:3 comment="HfTePb2, optimized geometry, DFT PBE" final_energy_ev_per_atom=-4.914 pbc="T T T"
Hf 3.7837 3.7837 3.7837
Pb 0.0000 0.0000 0.0000
Pb 1.8919 1.8919 1.8919
Te 5.6756 5.6756 5.6756

=====

[5]
24
Lattice="-4.3671 8.9825 5.0409 -0.9510 -2.2938 3.2635 12.5279 2.8987 5.6880" Properties=species:S:1:pos:R:3 comment="InTe3PtAu, optimized geometry, DFT PBE" final_energy_ev_per_atom=-3.813 e_above_lowest_polymorph_ev_per_atom=0.006 pbc="T T T"
Au -1.9529 7.3096 7.1450
Au 2.2349 4.3189 3.6869
Au 5.4505 6.4153 8.6738
Au 9.6382 3.4247 5.2157
In 1.7779 0.8546 1.1188
In 1.4396 4.7359 6.3247
In 6.2457 5.9983 6.0361
In 5.9074 9.8796 11.2419
Pt -1.4017 2.1835 3.7027
Pt 1.9084 8.9827 6.8697
Pt 5.7770 1.7515 5.4910
Pt 9.0870 8.5507 8.6580
Te -3.8019 5.9335 5.6390
Te -0.8369 4.7805 3.1162
Te 1.2607 1.6379 4.0950
Te 0.2613 7.4400 5.3055
Te 0.0943 8.9555 8.8984
Te 4.9127 3.9903 4.2362
Te 2.7727 6.7440 8.1245
Te 7.5911 1.7787 3.4623
Te 7.4240 3.2942 7.0552
Te 6.4246 9.0964 8.2657
Te 8.5222 5.9537 9.2445
Te 11.4872 4.8007 6.7217

=====

[6]
5
Lattice="-2.5205 2.5205 6.6777 2.5205 -2.5205 6.6777 2.5205 2.5205 -6.6777" Properties=species:S:1:pos:R:3 comment="KHg2Pb2, optimized geometry, DFT PBE" final_energy_ev_per_atom=-1.972 pbc="T T T"
Hg 0.0000 0.0000 5.2496
Hg 0.0000 0.0000 8.1058
K 0.0000 0.0000 0.0000
Pb 0.0000 2.5205 3.3388
Pb 2.5205 0.0000 3.3388

=====

[7]
4
Lattice="-4.4406 0.5968 -0.8215 0.4609 -2.0992 -4.0163 -0.9621 -4.2515 2.1117" Properties=species:S:1:pos:R:3 comment="HoHg2Pb, optimized geometry, DFT PBE" final_energy_ev_per_atom=-2.543 pbc="T T T"
Hg -2.2203 0.2984 -0.4108
Hg 0.2305 -1.0496 -2.0082
Ho -0.4811 -2.1258 1.0559
Pb -2.4709 -2.8769 -1.3631

=====

[8]
12
Lattice="-3.4266 3.0163 6.3368 -0.5372 -7.7889 -0.1972 6.0043 0.5647 1.7214" Properties=species:S:1:pos:R:3 comment="Tb4TlTc, optimized geometry, DFT PBE" final_energy_ev_per_atom=-5.423 pbc="T T T"
Tb -1.1691 -6.4606 1.6387
Tb -0.2506 -2.1165 1.3730
Tb -0.2573 -4.0705 4.6013
Tb 2.1265 -5.2063 1.0218
Tb -0.0860 0.9983 6.8392
Tb 2.2978 -0.1375 3.2597
Tb 2.2911 -2.0915 6.4880
Tb 3.2096 2.2527 6.2222
Tc 1.5011 0.1412 0.4303
Tc 4.5032 0.4235 1.2910
Tl -0.8395 -0.9040 4.3112
Tl 2.8800 -3.3040 3.5498

=====

[9]
22
Lattice="-4.1354 17.5860 3.1308 -5.0900 -2.2462 5.8938 2.7533 0.2099 2.4578" Properties=species:S:1:pos:R:3 comment="Gd5In4Pt2, optimized geometry, DFT PBE" final_energy_ev_per_atom=-5.025 pbc="T T T"
Gd 0.0000 0.0000 0.0000
Gd -2.3079 7.0538 1.9830
Gd -2.1477 3.3430 2.1204
Gd -4.2933 12.1016 3.7760
Gd -5.7443 15.2428 5.1333
Gd -4.6127 7.6699 4.5123
Gd -3.4811 0.0970 3.8913
Gd -4.9322 3.2382 5.2486
Gd -7.0777 11.9968 6.9042
Gd -6.9176 8.2860 7.0416
In -2.5239 14.9152 4.3336
In -2.0480 9.6206 4.2527
In -0.3745 0.6536 3.1437
In -2.2441 5.3332 4.8384
In -4.2281 10.2165 6.6440
In -6.0977 14.8960 8.3387
In -4.4241 5.9291 7.2297
In -3.9483 0.6345 7.1488
Pt -0.0041 5.3999 2.3234
Pt -4.3711 13.1782 6.5512
Pt -2.1011 2.3715 4.9312
Pt -6.4681 10.1498 9.1589

=====

[10]
3
Lattice="0.0000 3.8086 3.8086 3.8086 0.0000 3.8086 3.8086 3.8086 0.0000" Properties=species:S:1:pos:R:3 comment="AcNpTl, optimized geometry, DFT PBE" final_energy_ev_per_atom=-5.546 e_above_lowest_polymorph_ev_per_atom=0.336 pbc="T T T"
Ac 0.0000 0.0000 0.0000
Np 1.9043 1.9043 1.9043
Tl 5.7128 5.7128 5.7128

=====

[11]
20
Lattice="8.9530 0.0000 0.0000 0.0000 8.9530 0.0000 0.0000 0.0000 8.9530" Properties=species:S:1:pos:R:3 comment="Pr, optimized geometry, DFT PBE" delta_e_f_kj_per_mol_atoms=13.0 final_energy_ev_per_atom=-4.640 e_above_lowest_polymorph_ev_per_atom=0.134 pbc="T T T"
Pr 7.8339 6.3284 0.3864
Pr 0.5780 0.5780 0.5780
Pr 1.8519 4.0901 1.1191
Pr 7.2928 2.8163 1.6602
Pr 4.0901 1.1191 1.8519
Pr 4.8629 5.5957 2.6246
Pr 1.6602 7.2928 2.8163
Pr 7.1012 8.5667 3.3574
Pr 8.3750 5.0546 3.8985
Pr 1.1191 1.8519 4.0901
Pr 5.5957 2.6246 4.8629
Pr 3.8985 8.3750 5.0546
Pr 2.6246 4.8629 5.5957
Pr 6.1368 6.1368 6.1368
Pr 0.3864 7.8339 6.3284
Pr 8.5667 3.3574 7.1012
Pr 2.8163 1.6602 7.2928
Pr 6.3284 0.3864 7.8339
Pr 5.0546 3.8985 8.3750
Pr 3.3574 7.1012 8.5667

=====

[12]
3
Lattice="0.0000 3.3062 3.3062 3.3062 0.0000 3.3062 3.3062 3.3062 0.0000" Properties=species:S:1:pos:R:3 comment="PrTcPd, optimized geometry, DFT PBE" delta_e_f_kj_per_mol_atoms=41.3 final_energy_ev_per_atom=-6.342 e_above_lowest_polymorph_ev_per_atom=0.000 pbc="T T T"
Pd 0.0000 0.0000 0.0000
Pr 1.6531 1.6531 1.6531
Tc 4.9594 4.9594 4.9594

=====

[13]
8
Lattice="3.5656 0.0000 0.0000 0.0000 3.5656 0.0000 0.0000 0.0000 9.8676" Properties=species:S:1:pos:R:3 comment="BeNbAsO, optimized geometry, DFT PBE" final_energy_ev_per_atom=-6.641 e_above_lowest_polymorph_ev_per_atom=0.368 pbc="T T T"
As 0.0000 1.7828 2.8527
As 1.7828 0.0000 7.0149
Be 0.0000 1.7828 0.0701
Be 1.7828 0.0000 9.7976
Nb 0.0000 0.0000 4.9338
Nb 1.7828 1.7828 4.9338
O 0.0000 0.0000 0.0000
O 1.7828 1.7828 0.0000

=====

[14]
8
Lattice="-1.6701 -3.0595 1.9483 6.8091 -4.4051 -1.0806 2.1974 2.1185 5.2102" Properties=species:S:1:pos:R:3 comment="GdSnPO, optimized geometry, DFT PBE" final_energy_ev_per_atom=-6.187 e_above_lowest_polymorph_ev_per_atom=0.000 pbc="T T T"
Gd 2.0757 0.2331 2.1453
Gd 7.7886 -1.6928 4.0182
O 1.5997 -1.8370 2.5787
O 6.2120 -3.0509 4.6262
P 6.5096 -2.7349 1.2854
P 3.2312 1.1561 4.5852
Sn 1.7398 -3.0766 0.7523
Sn 4.6455 -3.1864 3.0706

=====

[15]
5
Lattice="-2.0161 2.0161 5.3455 2.0161 -2.0161 5.3455 2.0161 2.0161 -5.3455" Properties=species:S:1:pos:R:3 comment="ScRe2Ge2, optimized geometry, DFT PBE" final_energy_ev_per_atom=-8.127 pbc="T T T"
Ge 0.0000 0.0000 4.1414
Ge 0.0000 0.0000 6.5497
Re 0.0000 2.0161 2.6728
Re 2.0161 0.0000 2.6728
Sc 0.0000 0.0000 0.0000

=====

[16]
4
Lattice="-0.7863 -3.8854 -1.8444 1.6550 -3.6372 1.7744 -2.6436 -2.8649 1.9799" Properties=species:S:1:pos:R:3 comment="FeOsW2, optimized geometry, DFT PBE" delta_e_f_kj_per_mol_atoms=18.5 final_energy_ev_per_atom=-11.172 pbc="T T T"
Fe -0.4437 -2.5969 0.4775
Os -0.8874 -5.1938 0.9550
W 0.0000 0.0000 0.0000
W -1.3312 -7.7907 1.4325

=====

[17]
4
Lattice="0.0000 3.4385 3.4385 3.4385 0.0000 3.4385 3.4385 3.4385 0.0000" Properties=species:S:1:pos:R:3 comment="NaHfTlPd, optimized geometry, DFT PBE" final_energy_ev_per_atom=-4.723 e_above_lowest_polymorph_ev_per_atom=0.016 pbc="T T T"
Hf 1.7193 1.7193 1.7193
Na 5.1578 5.1578 5.1578
Pd 0.0000 0.0000 0.0000
Tl 3.4385 3.4385 3.4385

=====

[18]
8
Lattice="2.7223 -2.7223 0.0000 2.7223 2.7223 0.0000 0.0000 0.0000 6.6123" Properties=species:S:1:pos:R:3 comment="OsAuNO, optimized geometry, DFT PBE" final_energy_ev_per_atom=-6.141 e_above_lowest_polymorph_ev_per_atom=0.641 pbc="T T T"
Au 1.3611 0.0000 1.1443
Au 4.0834 0.0000 5.4681
N 4.0834 0.0000 2.4893
N 1.3611 0.0000 4.1230
O 2.7223 -1.3612 0.0000
O 2.7223 1.3612 0.0000
Os 2.7223 -1.3612 3.3062
Os 2.7223 1.3612 3.3062

=====

[19]
4
Lattice="0.0000 3.3060 3.3060 3.3060 0.0000 3.3060 3.3060 3.3060 0.0000" Properties=species:S:1:pos:R:3 comment="NaBeBiPt, optimized geometry, DFT PBE" final_energy_ev_per_atom=-3.676 e_above_lowest_polymorph_ev_per_atom=0.000 pbc="T T T"
Be 3.3060 3.3060 3.3060
Bi 0.0000 0.0000 0.0000
Na 4.9590 4.9590 4.9590
Pt 1.6530 1.6530 1.6530

=====

[20]
4
Lattice="0.0000 3.1027 3.1027 3.1027 0.0000 3.1027 3.1027 3.1027 0.0000" Properties=species:S:1:pos:R:3 comment="LiZnNiSb, optimized geometry, DFT PBE" final_energy_ev_per_atom=-3.469 e_above_lowest_polymorph_ev_per_atom=0.000 pbc="T T T"
Li 4.6540 4.6540 4.6540
Ni 1.5514 1.5514 1.5514
Sb 3.1027 3.1027 3.1027
Zn 0.0000 0.0000 0.0000

=====

[21]
8
Lattice="2.9909 -2.9914 0.0000 2.9909 2.9914 0.0000 0.0000 0.0000 8.3993" Properties=species:S:1:pos:R:3 comment="InAsPdO, optimized geometry, DFT PBE" final_energy_ev_per_atom=-4.312 e_above_lowest_polymorph_ev_per_atom=0.644 pbc="T T T"
As 2.9909 1.4957 2.3833
As 2.9909 -1.4957 6.0160
In 1.4955 0.0000 4.1996
In 4.4864 0.0000 4.1996
O 1.4955 0.0000 0.0000
O 4.4864 0.0000 0.0000
Pd 2.9909 -1.4957 0.4182
Pd 2.9909 1.4957 7.9811

=====

[22]
7
Lattice="2.0426 1.1793 7.4223 -2.0426 1.1793 7.4223 0.0000 -2.3586 7.4223" Properties=species:S:1:pos:R:3 comment="U2SeF4, optimized geometry, DFT PBE" final_energy_ev_per_atom=-7.603 pbc="T T T"
F 0.0000 0.0000 3.1145
F 0.0000 0.0000 9.6819
F 0.0000 0.0000 12.5850
F 0.0000 0.0000 19.1523
Se 0.0000 0.0000 0.0000
U 0.0000 0.0000 5.5053
U 0.0000 0.0000 16.7615

=====

[23]
11
Lattice="-2.3000 3.5115 7.5533 2.3000 -3.5115 7.5533 2.3000 3.5115 -7.5533" Properties=species:S:1:pos:R:3 comment="Pr2NdCu4Sn4, optimized geometry, DFT PBE" final_energy_ev_per_atom=-4.643 pbc="T T T"
Cu 0.0000 2.2216 5.0160
Cu 0.0000 2.2216 10.0905
Cu 2.3000 1.2899 -2.5373
Cu 2.3000 1.2899 2.5373
Nd 0.0000 0.0000 0.0000
Pr 0.0000 3.5115 2.0132
Pr 2.3000 0.0000 5.5401
Sn 0.0000 0.0000 3.2623
Sn 0.0000 0.0000 11.8443
Sn 0.0000 1.4128 7.5533
Sn 2.3000 2.0986 0.0000

=====

[24]
3
Lattice="1.9701 -1.9463 -3.2453 1.5620 -3.9377 0.5055 -1.8641 -3.3017 -1.9558" Properties=species:S:1:pos:R:3 comment="LiNbRe, optimized geometry, DFT PBE" final_energy_ev_per_atom=-7.219 e_above_lowest_polymorph_ev_per_atom=0.000 pbc="T T T"
Li 0.4170 -2.2964 -1.1739
Nb 1.2510 -6.8893 -3.5217
Re 0.0000 0.0000 0.0000